Entry 1:
Below is an optimized crystal structure of Ca2SnBi, with properties calculated at the PBE-GGA level.

Cell lengths 4.4010, 5.2144, 5.2144 Å; angles 90.00, 90.00, 90.00 degrees
Sites, in units of the cell vectors:
Sn (0.5000, 0.0000, 0.0000)
Ca (0.0000, 0.5000, 0.0000)
Ca (0.0000, 0.0000, 0.5000)
Bi (0.5000, 0.5000, 0.5000)

Results
formation energy from the elements = -0.657 eV per atom
excess energy over the best structure of this formula in the dataset = 0.0 meV/atom
space group = P4/mmm

Entry 2:
Below is an optimized crystal structure of KSi2HPt, with properties calculated at the PBE-GGA level.

Cell lengths 4.1540, 4.3920, 4.1540 Å; angles 90.00, 90.00, 90.00 degrees
Sites, in units of the cell vectors:
Pt (0.5000, 0.5000, 0.5000)
Si (0.0000, 0.0000, 0.5000)
Si (0.5000, 0.0000, 0.0000)
H (0.0000, 0.0000, 0.0000)
K (0.0000, 0.5000, 0.0000)

Results
raw total energy = -3.74 eV/atom
space group = P4/mmm

Entry 3:
Below is an optimized crystal structure of PmPr2N, with properties calculated at the PBE-GGA level.

Cell lengths 3.6201, 3.6201, 10.0985 Å; angles 79.67, 79.67, 60.00 degrees
Sites, in units of the cell vectors:
Pr (0.1196, 0.1196, 0.6413)
Pr (0.8804, 0.8804, 0.3587)
Pm (0.0000, 0.0000, 0.0000)
N (0.5000, 0.5000, 0.5000)

Results
raw total energy = -6.19 eV/atom
space group = R-3m